Material: CrP2Ir
Method: DFT, PBE-GGA
State: optimized geometry

Lattice parameters (Å, degrees): 7.412 7.412 7.412 22.99 22.99 22.99
Fractional coordinates of all 4 atoms:
Cr 0.000 0.000 0.000
P 0.263 0.263 0.263
P 0.511 0.511 0.511
Ir 0.768 0.768 0.768

Summary:
* calculated density: 9.33 g/cm³
* SG: R3m
* energy of formation from the pure elements: -0.012 eV/atom
* DOS(E_F): 3.07 states/eV/f.u.
* calculated total energy: -29.35 eV per cell
* ΔE to the lowest computed polymorph: 320 meV/atom
* magnetic moment: 0.28 μB per atom

=====

Material: TbDyRu
Method: DFT, PBE-GGA
State: optimized geometry

Lattice parameters (Å, degrees): 7.575 4.288 13.310 90.00 91.44 90.00
Fractional coordinates of all 18 atoms:
Tb 0.025 0.250 0.211
Tb 0.359 0.750 0.578
Tb 0.471 0.750 0.881
Tb 0.529 0.250 0.119
Tb 0.641 0.250 0.422
Tb 0.975 0.750 0.789
Dy 0.017 0.250 0.594
Dy 0.153 0.250 0.959
Dy 0.370 0.750 0.295
Dy 0.630 0.250 0.705
Dy 0.847 0.750 0.041
Dy 0.983 0.750 0.406
Ru 0.241 0.750 0.088
Ru 0.242 0.250 0.419
Ru 0.269 0.250 0.755
Ru 0.731 0.750 0.245
Ru 0.758 0.750 0.581
Ru 0.759 0.250 0.912

Summary:
* calculated density: 9.74 g/cm³
* SG: P2_1/m
* energy of formation from the pure elements: -0.314 eV/atom
* DOS(E_F): 1.16 states/eV/f.u.
* calculated total energy: -116.70 eV per cell
* ΔE to the lowest computed polymorph: 14 meV/atom
* magnetic moment: 0.00 μB per atom

=====

Material: Sr12Al3F5
Method: DFT, PBE-GGA
State: optimized geometry

Lattice parameters (Å, degrees): 15.019 15.019 15.019 109.47 109.47 109.47
Fractional coordinates of all 80 atoms:
Sr 0.023 0.211 0.120
Sr 0.023 0.312 0.903
Sr 0.090 0.711 0.688
Sr 0.090 0.880 0.403
Sr 0.097 0.620 0.410
Sr 0.097 0.977 0.688
Sr 0.120 0.023 0.211
Sr 0.120 0.597 0.910
Sr 0.188 0.211 0.590
Sr 0.188 0.477 0.597
Sr 0.211 0.120 0.023
Sr 0.211 0.590 0.188
Sr 0.289 0.312 0.910
Sr 0.289 0.477 0.380
Sr 0.312 0.903 0.023
Sr 0.312 0.910 0.289
Sr 0.380 0.289 0.477
Sr 0.380 0.590 0.903
Sr 0.403 0.090 0.880
Sr 0.403 0.812 0.523
Sr 0.410 0.097 0.620
Sr 0.410 0.812 0.789
Sr 0.477 0.380 0.289
Sr 0.477 0.597 0.188
Sr 0.523 0.403 0.812
Sr 0.523 0.620 0.711
Sr 0.590 0.188 0.211
Sr 0.590 0.903 0.380
Sr 0.597 0.188 0.477
Sr 0.597 0.910 0.120
Sr 0.620 0.410 0.097
Sr 0.620 0.711 0.523
Sr 0.688 0.090 0.711
Sr 0.688 0.097 0.977
Sr 0.711 0.523 0.620
Sr 0.711 0.688 0.090
Sr 0.789 0.410 0.812
Sr 0.789 0.880 0.977
Sr 0.812 0.523 0.403
Sr 0.812 0.789 0.410
Sr 0.880 0.403 0.090
Sr 0.880 0.977 0.789
Sr 0.903 0.023 0.312
Sr 0.903 0.380 0.590
Sr 0.910 0.120 0.597
Sr 0.910 0.289 0.312
Sr 0.977 0.688 0.097
Sr 0.977 0.789 0.880
Al 0.125 0.250 0.375
Al 0.125 0.375 0.750
Al 0.250 0.375 0.125
Al 0.250 0.875 0.625
Al 0.375 0.125 0.250
Al 0.375 0.750 0.125
Al 0.625 0.250 0.875
Al 0.625 0.875 0.750
Al 0.750 0.125 0.375
Al 0.750 0.625 0.875
Al 0.875 0.625 0.250
Al 0.875 0.750 0.625
F 0.000 0.000 0.000
F 0.000 0.000 0.500
F 0.000 0.500 0.000
F 0.000 0.500 0.500
F 0.125 0.750 0.875
F 0.125 0.875 0.250
F 0.250 0.125 0.875
F 0.250 0.625 0.375
F 0.375 0.250 0.625
F 0.375 0.625 0.750
F 0.500 0.000 0.000
F 0.500 0.000 0.500
F 0.500 0.500 0.000
F 0.500 0.500 0.500
F 0.625 0.375 0.250
F 0.625 0.750 0.375
F 0.750 0.375 0.625
F 0.750 0.875 0.125
F 0.875 0.125 0.750
F 0.875 0.250 0.125

Summary:
* calculated density: 3.13 g/cm³
* SG: Ia-3d
* DOS(E_F): 16.27 states/eV/f.u.
* calculated total energy: -274.21 eV per cell
* magnetic moment: 0.00 μB per atom
* ΔE_f (raw): -1.389 eV/atom

=====

Material: Zr3CdCu
Method: DFT, PBE-GGA
State: optimized geometry

Lattice parameters (Å, degrees): 4.930 4.930 4.930 90.00 90.00 90.00
Fractional coordinates of all 5 atoms:
Zr 0.000 0.000 0.500
Zr 0.000 0.500 0.000
Zr 0.500 0.000 0.000
Cd 0.500 0.500 0.500
Cu 0.000 0.000 0.000

Summary:
* calculated density: 6.23 g/cm³
* SG: Pm-3m
* energy of formation from the pure elements: 0.411 eV/atom
* DOS(E_F): 7.39 states/eV/f.u.
* calculated total energy: -28.60 eV per cell
* ΔE to the lowest computed polymorph: 0 meV/atom
* magnetic moment: 0.00 μB per atom

=====

Material: LiYLu2
Method: DFT, PBE-GGA
State: optimized geometry

Lattice parameters (Å, degrees): 5.430 5.430 3.822 90.00 90.00 90.00
Fractional coordinates of all 4 atoms:
Li 0.000 0.000 0.000
Y 0.500 0.500 0.000
Lu 0.000 0.500 0.500
Lu 0.500 0.000 0.500

Summary:
* calculated density: 6.57 g/cm³
* SG: P4/mmm
* energy of formation from the pure elements: 0.193 eV/atom
* DOS(E_F): 5.42 states/eV/f.u.
* calculated total energy: -16.65 eV per cell
* ΔE to the lowest computed polymorph: 112 meV/atom
* magnetic moment: 0.00 μB per atom

=====

Material: RuRhNO2
Method: DFT, PBE-GGA
State: optimized geometry

Lattice parameters (Å, degrees): 3.890 3.890 3.824 90.00 90.00 90.00
Fractional coordinates of all 5 atoms:
Ru 0.000 0.000 0.000
Rh 0.500 0.500 0.500
N 0.000 0.000 0.500
O 0.000 0.500 0.000
O 0.500 0.000 0.000

Summary:
* calculated density: 7.17 g/cm³
* SG: P4/mmm
* DOS(E_F): 5.96 states/eV/f.u.
* calculated total energy: -32.42 eV per cell
* magnetic moment: 0.34 μB per atom
* ΔE_f (raw): 0.490 eV/atom

=====

Material: PmGePb2
Method: DFT, PBE-GGA
State: optimized geometry

Lattice parameters (Å, degrees): 11.068 11.068 11.068 18.81 18.81 18.81
Fractional coordinates of all 4 atoms:
Pm 0.000 0.000 0.000
Ge 0.500 0.500 0.500
Pb 0.099 0.099 0.099
Pb 0.901 0.901 0.901

Summary:
* calculated density: 8.52 g/cm³
* SG: R-3m
* energy of formation from the pure elements: 0.192 eV/atom
* DOS(E_F): 2.79 states/eV/f.u.
* calculated total energy: -16.02 eV per cell
* ΔE to the lowest computed polymorph: 515 meV/atom
* magnetic moment: 0.00 μB per atom

=====

Material: EuTmAlPd
Method: DFT, PBE-GGA
State: optimized geometry

Lattice parameters (Å, degrees): 5.105 5.105 5.105 60.00 60.00 60.00
Fractional coordinates of all 4 atoms:
Eu 0.000 0.000 0.000
Tm 0.500 0.500 0.500
Al 0.250 0.250 0.250
Pd 0.750 0.750 0.750

Summary:
* calculated density: 8.02 g/cm³
* SG: F-43m
* energy of formation from the pure elements: -0.454 eV/atom
* DOS(E_F): 5.45 states/eV/f.u.
* calculated total energy: -25.50 eV per cell
* magnetic moment: 1.72 μB per atom